# 1
Below is a relaxed LaPr4Hg3 crystal, with properties calculated at the PBE level.

Properties
**D(E_F)**: 10.6 states/eV/f.u.
**Formation energy from the elements**: -0.294 eV/atom

abc: 9.9663 9.9663 9.9663
angles: 31.86 31.86 31.86
Atoms (fractional coordinates):
La 0.0000 0.0000 0.0000
Pr 0.1322 0.1322 0.1322
Pr 0.3888 0.3888 0.3888
Pr 0.6112 0.6112 0.6112
Pr 0.8678 0.8678 0.8678
Hg 0.2639 0.2639 0.2639
Hg 0.5000 0.5000 0.5000
Hg 0.7361 0.7361 0.7361



# 2
Below is a relaxed TbNp2Co9 crystal, with properties calculated at the PBE level.

Properties
**D(E_F)**: 21.1 states/eV/f.u.
**Formation energy from the elements**: -0.107 eV/atom

abc: 8.6289 8.6289 8.6289
angles: 32.79 32.79 32.79
Atoms (fractional coordinates):
Tb 0.0000 0.0000 0.0000
Np 0.1406 0.1406 0.1406
Np 0.8594 0.8594 0.8594
Co 0.0827 0.5817 0.5817
Co 0.3329 0.3329 0.3329
Co 0.4183 0.4183 0.9173
Co 0.4183 0.9173 0.4183
Co 0.5000 0.5000 0.5000
Co 0.5817 0.0827 0.5817
Co 0.5817 0.5817 0.0827
Co 0.6671 0.6671 0.6671
Co 0.9173 0.4183 0.4183



# 3
Below is a relaxed ZrInN3 crystal, with properties calculated at the PBE level.

Properties
**Energy relative to the elements, uncorrected**: 1.118 eV/atom
**D(E_F)**: 2.9 states/eV/f.u.

abc: 4.0338 4.0338 4.0338
angles: 90.00 90.00 90.00
Atoms (fractional coordinates):
Zr 0.0000 0.0000 0.0000
In 0.5000 0.5000 0.5000
N 0.0000 0.5000 0.5000
N 0.5000 0.0000 0.5000
N 0.5000 0.5000 0.0000



# 4
Below is a relaxed CsScPCl2 crystal, with properties calculated at the PBE level.

Properties
**Energy relative to the elements, uncorrected**: 0.392 eV/atom
**D(E_F)**: 3.9 states/eV/f.u.

abc: 5.8410 5.8410 5.6585
angles: 90.00 90.00 90.00
Atoms (fractional coordinates):
Cs 0.0000 0.0000 0.0000
Sc 0.5000 0.5000 0.5000
P 0.0000 0.0000 0.5000
Cl 0.0000 0.5000 0.0000
Cl 0.5000 0.0000 0.0000



# 5
Below is a relaxed TmZnCo2H8 crystal, with properties calculated at the PBE level.

Properties
**D(E_F)**: 3.1 states/eV/f.u.

abc: 4.5652 4.5652 6.0339
angles: 90.00 90.00 120.00
Atoms (fractional coordinates):
Tm 0.0000 0.0000 0.0000
Zn 0.0000 0.0000 0.5000
Co 0.3333 0.6667 0.3317
Co 0.6667 0.3333 0.6683
H 0.1479 0.2958 0.2853
H 0.1479 0.8521 0.2853
H 0.2958 0.1479 0.7147
H 0.3333 0.6667 0.0767
H 0.6667 0.3333 0.9233
H 0.7042 0.8521 0.2853
H 0.8521 0.1479 0.7147
H 0.8521 0.7042 0.7147



# 6
Below is a relaxed Pr2Dy6Ho3Mg crystal, with properties calculated at the PBE level.

Properties
**D(E_F)**: 17.2 states/eV/f.u.
**Formation energy from the elements**: 0.019 eV/atom

abc: 6.1321 6.1321 11.7624
angles: 95.02 95.02 120.05
Atoms (fractional coordinates):
Pr 0.1664 0.8336 0.0000
Pr 0.8336 0.1664 0.0000
Dy 0.0851 0.4162 0.7473
Dy 0.2524 0.2524 0.2538
Dy 0.4162 0.0851 0.7473
Dy 0.5838 0.9149 0.2527
Dy 0.7476 0.7476 0.7462
Dy 0.9149 0.5838 0.2527
Ho 0.0000 0.0000 0.5000
Ho 0.3344 0.6656 0.5000
Ho 0.6656 0.3344 0.5000
Mg 0.5000 0.5000 0.0000



# 7
Below is a relaxed Ac2Cd2Ag3 crystal, with properties calculated at the PBE level.

Properties
**D(E_F)**: 5.0 states/eV/f.u.
**Formation energy from the elements**: -0.256 eV/atom

abc: 6.2342 6.2342 7.3980
angles: 110.98 110.98 45.17
Atoms (fractional coordinates):
Ac 0.1456 0.1456 0.2607
Ac 0.8544 0.8544 0.7393
Cd 0.1482 0.1482 0.7369
Cd 0.8518 0.8518 0.2631
Ag 0.4022 0.4022 0.0788
Ag 0.5000 0.5000 0.5000
Ag 0.5978 0.5978 0.9212



# 8
Below is a relaxed MgSc5Al6 crystal, with properties calculated at the PBE level.

Properties
**D(E_F)**: 4.7 states/eV/f.u.
**Formation energy from the elements**: -0.380 eV/atom

abc: 8.2527 8.2527 4.7620
angles: 106.26 106.26 48.18
Atoms (fractional coordinates):
Mg 0.0000 0.0000 0.0000
Sc 0.1607 0.1607 0.6610
Sc 0.3320 0.3320 0.3321
Sc 0.5000 0.5000 0.0000
Sc 0.6680 0.6680 0.6679
Sc 0.8393 0.8393 0.3390
Al 0.0844 0.5816 0.8327
Al 0.2553 0.7447 0.5000
Al 0.4184 0.9156 0.1673
Al 0.5816 0.0844 0.8327
Al 0.7447 0.2553 0.5000
Al 0.9156 0.4184 0.1673



Number 1: final energy -3.413 eV/atom. Number 2: final energy -7.979 eV/atom. Number 3: final energy -6.134 eV/atom. Number 4: final energy -2.866 eV/atom. Number 5: final energy -3.788 eV/atom. Number 6: final energy -4.356 eV/atom. Number 7: final energy -2.913 eV/atom. Number 8: final energy -5.022 eV/atom.